AcDyTmCd: optimized geometry, PBE-GGA.

a b c (Å): 7.972 7.972 7.972
angles (deg): 90.00 90.00 90.00
Space group F-43m (No. 216)
Symmetry-distinct sites (fractional):
Ac1 0.000 0.000 0.000 (multiplicity 4)
Dy1 0.000 0.000 0.500 (multiplicity 4)
Tm1 0.250 0.250 0.750 (multiplicity 4)
Cd1 0.250 0.250 0.250 (multiplicity 4)

Computed properties:
The value obtained for the formation enthalpy at 0 K is -0.19 kJ/mol of atoms. The electronic total energy is -3.526 eV per atom. The calculated density comes out at 8.80 g/cm3.

---

BaTi2TlCo: optimized geometry, PBE-GGA.

a b c (Å): 5.074 5.074 4.717
angles (deg): 90.00 90.00 90.00
Space group P4/mmm (No. 123)
Symmetry-distinct sites (fractional):
Ba1 0.000 0.000 0.000 (multiplicity 1)
Ti1 0.000 0.500 0.000 (multiplicity 2)
Tl1 0.500 0.500 0.500 (multiplicity 1)
Co1 0.000 0.000 0.500 (multiplicity 1)

Computed properties:
The value obtained for the formation enthalpy at 0 K is 173.23 kJ/mol of atoms. The electronic total energy is -3.642 eV per atom. The calculated density comes out at 6.79 g/cm3.

---

AcLaAlZn: optimized geometry, PBE-GGA.

a b c (Å): 7.730 7.730 7.730
angles (deg): 90.00 90.00 90.00
Space group F-43m (No. 216)
Symmetry-distinct sites (fractional):
Ac1 0.000 0.000 0.000 (multiplicity 4)
La1 0.000 0.000 0.500 (multiplicity 4)
Al1 0.250 0.250 0.750 (multiplicity 4)
Zn1 0.250 0.250 0.250 (multiplicity 4)

Computed properties:
The distance to the lowest polymorph of the same formula is 7 meV per atom. The value obtained for the formation enthalpy at 0 K is -26.55 kJ/mol of atoms. The electronic total energy is -3.788 eV per atom. The calculated density comes out at 6.59 g/cm3.